Record 1
## CaYIr (PBE)

Data for a geometry-optimized CaYIr structure.

- Fermi-level density of states (states/eV per atom) = 0.442
- energy above the lowest structure with this stoichiometry (meV/atom) = 42

Lattice parameters (Å, degrees): 3.857 12.062 6.836 90.00 90.00 90.00
Space group Cmc2_1 (No. 36)
Inequivalent atoms, fractional coordinates:
Ca 0.000 0.219 0.000 (multiplicity 4)
Y 0.000 0.490 0.798 (multiplicity 4)
Ir 0.000 0.101 0.569 (multiplicity 4)

---

Record 2
## Re2AgPtC (PBE)

Data for a geometry-optimized Re2AgPtC structure.

- Fermi-level density of states (states/eV per atom) = 1.264

Lattice parameters (Å, degrees): 5.129 5.129 3.704 90.00 90.00 90.00
Space group P4/mmm (No. 123)
Inequivalent atoms, fractional coordinates:
Re 0.000 0.500 0.000 (multiplicity 2)
Ag 0.000 0.000 0.500 (multiplicity 1)
Pt 0.500 0.500 0.000 (multiplicity 1)
C 0.500 0.500 0.500 (multiplicity 1)

---

Record 3
## SrBeCu2 (PBE)

Data for a geometry-optimized SrBeCu2 structure.

- Fermi-level density of states (states/eV per atom) = 0.244

Lattice parameters (Å, degrees): 3.719 3.721 5.623 90.00 90.08 90.00
Space group Pm (No. 6)
Inequivalent atoms, fractional coordinates:
Sr 0.000 0.000 0.000 (multiplicity 1)
Be 0.501 0.500 0.320 (multiplicity 1)
Cu 0.001 0.500 0.521 (multiplicity 1)
Cu 0.501 0.000 0.521 (multiplicity 1)

---

Record 4
## Cr2GaRh (PBE)

Data for a geometry-optimized Cr2GaRh structure.

- Fermi-level density of states (states/eV per atom) = 1.738
- energy above the lowest structure with this stoichiometry (meV/atom) = 0

Lattice parameters (Å, degrees): 6.095 6.095 6.095 90.00 90.00 90.00
Space group Fm-3m (No. 225)
Inequivalent atoms, fractional coordinates:
Cr 0.250 0.250 0.250 (multiplicity 8)
Ga 0.000 0.000 0.000 (multiplicity 4)
Rh 0.000 0.000 0.500 (multiplicity 4)

---

Across the entries above, energy relative to the elements takes the values -478.1 2339.7 166.5 87.0 meV/atom, respectively.